(1)
# MgB

Crystalline MgB at its relaxed geometry (PBE, Alexandria).

## Properties
The calculation puts the total magnetization at 0.000 μB/atom. For the energy above the lowest structure with this stoichiometry, the calculation gives 424 meV/atom. The formation energy comes out at 0.33 eV per atom.

Lattice parameters (Å, degrees): 6.0765 6.0765 5.1792 90.00 90.00 120.00
Atoms (fractional coordinates):
1 Mg 0.1138 0.7758 0.2500
2 Mg 0.2242 0.3379 0.2500
3 Mg 0.3379 0.1138 0.7500
4 Mg 0.6621 0.8862 0.2500
5 Mg 0.7758 0.6621 0.7500
6 Mg 0.8862 0.2242 0.7500
7 B 0.1773 0.6729 0.7500
8 B 0.3271 0.5044 0.7500
9 B 0.4956 0.8227 0.7500
10 B 0.5044 0.1773 0.2500
11 B 0.6729 0.4956 0.2500
12 B 0.8227 0.3271 0.2500



(2)
# MgB

Crystalline MgB at its relaxed geometry (PBE, Alexandria).

## Properties
The calculation puts the total magnetization at 0.000 μB/atom. For the energy above the lowest structure with this stoichiometry, the calculation gives 427 meV/atom. The formation energy comes out at 0.33 eV per atom.

Lattice parameters (Å, degrees): 6.4694 6.4694 6.4694 146.05 52.14 141.65
Atoms (fractional coordinates):
1 Mg 0.0000 0.0000 0.0000
2 Mg 0.4948 0.2230 0.2718
3 Mg 0.9512 0.2230 0.7282
4 B 0.0903 0.7230 0.3673
5 B 0.2988 0.7988 0.5000
6 B 0.3557 0.7230 0.6327



(3)
# MgB

Crystalline MgB at its relaxed geometry (PBE, Alexandria).

## Properties
The calculation puts the total magnetization at 0.000 μB/atom. For the energy above the lowest structure with this stoichiometry, the calculation gives 393 meV/atom. The formation energy comes out at 0.30 eV per atom.

Lattice parameters (Å, degrees): 5.7738 5.7738 5.7738 109.47 109.47 109.47
Atoms (fractional coordinates):
1 Mg 0.0000 0.0000 0.4252
2 Mg 0.0000 0.4252 0.0000
3 Mg 0.4252 0.0000 0.0000
4 Mg 0.5748 0.5748 0.5748
5 B 0.0000 0.0000 0.8136
6 B 0.0000 0.8136 0.0000
7 B 0.1864 0.1864 0.1864
8 B 0.8136 0.0000 0.0000



(4)
# MgB7

Crystalline MgB7 at its relaxed geometry (PBE, Alexandria).

## Properties
The calculation puts the total magnetization at 0.000 μB/atom. For the energy above the lowest structure with this stoichiometry, the calculation gives 0 meV/atom. The formation energy comes out at -0.13 eV per atom.

Lattice parameters (Å, degrees): 7.2623 7.2623 7.2623 131.44 87.80 112.13
Atoms (fractional coordinates):
1 Mg 0.0000 0.0000 0.5000
2 Mg 0.0000 0.5000 0.0000
3 Mg 0.3858 0.1358 0.2500
4 Mg 0.6142 0.8642 0.7500
5 B 0.0256 0.8849 0.1407
6 B 0.0331 0.2087 0.3312
7 B 0.0331 0.7019 0.8245
8 B 0.0941 0.6764 0.4177
9 B 0.1906 0.5244 0.6662
10 B 0.2271 0.5079 0.4081
11 B 0.2271 0.8190 0.7192
12 B 0.2413 0.3236 0.9177
13 B 0.2441 0.8849 0.3592
14 B 0.3583 0.5244 0.8338
15 B 0.3774 0.2087 0.6755
16 B 0.3774 0.7019 0.1688
17 B 0.4002 0.1810 0.9081
18 B 0.4002 0.4921 0.2192
19 B 0.5998 0.5079 0.7808
20 B 0.5998 0.8190 0.0919
21 B 0.6226 0.2981 0.8312
22 B 0.6226 0.7913 0.3245
23 B 0.6417 0.4756 0.1662
24 B 0.7559 0.1151 0.6408
25 B 0.7587 0.6764 0.0823
26 B 0.7729 0.1810 0.2808
27 B 0.7729 0.4921 0.5919
28 B 0.8094 0.4756 0.3338
29 B 0.9059 0.3236 0.5823
30 B 0.9669 0.2981 0.1755
31 B 0.9669 0.7913 0.6688
32 B 0.9744 0.1151 0.8592



(5)
# MgB

Crystalline MgB at its relaxed geometry (PBE, Alexandria).

## Properties
The calculation puts the total magnetization at 0.000 μB/atom. For the energy above the lowest structure with this stoichiometry, the calculation gives 907 meV/atom. The formation energy comes out at 0.81 eV per atom.

Lattice parameters (Å, degrees): 2.8978 2.8978 2.8978 90.00 90.00 90.00
Atoms (fractional coordinates):
1 Mg 0.0000 0.0000 0.0000
2 B 0.5000 0.5000 0.5000



(6)
# MgB

Crystalline MgB at its relaxed geometry (PBE, Alexandria).

## Properties
The calculation puts the total magnetization at 0.000 μB/atom. For the energy above the lowest structure with this stoichiometry, the calculation gives 226 meV/atom. The formation energy comes out at 0.13 eV per atom.

Lattice parameters (Å, degrees): 8.6815 8.6815 3.0765 90.00 90.00 90.00
Atoms (fractional coordinates):
1 Mg 0.0000 0.2837 0.0000
2 Mg 0.0000 0.7163 0.0000
3 Mg 0.2837 0.0000 0.0000
4 Mg 0.3258 0.3258 0.5000
5 Mg 0.3258 0.6742 0.5000
6 Mg 0.6742 0.3258 0.5000
7 Mg 0.6742 0.6742 0.5000
8 Mg 0.7163 0.0000 0.0000
9 B 0.1064 0.5000 0.5000
10 B 0.1868 0.5000 0.0000
11 B 0.5000 0.1064 0.5000
12 B 0.5000 0.1868 0.0000
13 B 0.5000 0.8132 0.0000
14 B 0.5000 0.8936 0.5000
15 B 0.8132 0.5000 0.0000
16 B 0.8936 0.5000 0.5000